No. 1
ZrHgAu2 | PBE | relaxed

The structure in CIF format:
```
data_ZrHgAu2
_symmetry_space_group_name_H-M 'R 3 m'
_symmetry_Int_Tables_number 160
_symmetry_space_group_name_Hall 'R 3 -2"'
_cell_length_a 3.2442
_cell_length_b 3.2442
_cell_length_c 27.3745
_cell_angle_alpha 90.00
_cell_angle_beta 90.00
_cell_angle_gamma 120.00
loop_
_atom_site_label
_atom_site_type_symbol
_atom_site_fract_x
_atom_site_fract_y
_atom_site_fract_z
Zr1 Zr 0.0000 0.0000 0.0000
Hg1 Hg 0.0000 0.0000 0.7561
Au1 Au 0.0000 0.0000 0.2530
Au2 Au 0.0000 0.0000 0.5049
```

## Properties
The density is 13.69 g/cm3. The value obtained for the uncorrected energy is -0.2907 Ry per atom. The formation enthalpy at 0 K comes out at -0.1035 eV per atom.

***

No. 2
CoNiH | PBE | relaxed

The structure in CIF format:
```
data_CoNiH
_symmetry_space_group_name_H-M 'I 4 m m'
_symmetry_Int_Tables_number 107
_symmetry_space_group_name_Hall 'I 4 -2'
_cell_length_a 2.478
_cell_length_b 2.478
_cell_length_c 8.353
_cell_angle_alpha 90.00
_cell_angle_beta 90.00
_cell_angle_gamma 90.00
loop_
_atom_site_label
_atom_site_type_symbol
_atom_site_fract_x
_atom_site_fract_y
_atom_site_fract_z
Co1 Co 0.000 0.000 0.000
Ni1 Ni 0.000 0.000 0.289
H1 H 0.000 0.000 0.546
```

## Properties
The density is 7.68 g/cm3. The value obtained for the uncorrected energy is -0.3814 Ry per atom.

***

No. 3
K2NpSe2Cl2 | PBE | relaxed

The structure in CIF format:
```
data_K2NpSe2Cl2
_symmetry_space_group_name_H-M 'I 4/m m m'
_symmetry_Int_Tables_number 139
_symmetry_space_group_name_Hall '-I 4 2'
_cell_length_a 5.523
_cell_length_b 5.523
_cell_length_c 15.942
_cell_angle_alpha 90.00
_cell_angle_beta 90.00
_cell_angle_gamma 90.00
loop_
_atom_site_label
_atom_site_type_symbol
_atom_site_fract_x
_atom_site_fract_y
_atom_site_fract_z
K1 K 0.000 0.000 0.135
Np1 Np 0.000 0.000 0.500
Se1 Se 0.000 0.500 0.000
Cl1 Cl 0.000 0.000 0.331
```

## Properties
The density is 3.72 g/cm3. The value obtained for the uncorrected energy is -0.3808 Ry per atom. The raw formation energy is -1.50 eV per atom.